First-principles (PBE) data for crystalline PrSmSi4Ni2 at its relaxed geometry, as listed in the Open Quantum Materials Database.

Geometry as POSCAR:
```
PrSmSi4Ni2
1.0
4.055 0.000 0.000
0.000 2.068 8.209
0.000 -2.068 8.209
Ni Si Sm Pr
2 4 1 1
Direct
0.500 0.181 0.181 Ni
0.000 0.819 0.819 Ni
0.000 0.251 0.251 Si
0.000 0.959 0.959 Si
0.500 0.040 0.040 Si
0.500 0.750 0.750 Si
0.500 0.394 0.394 Sm
0.000 0.606 0.606 Pr
```

E_tot: -6.113 eV per atom
crystal system: orthorhombic
symmetry: Amm2, No. 38